NiSF3, optimized geometry, DFT PBE with a Hubbard U; calculated density = 3.3 g cm⁻³; energy relative to the lowest polymorph listed for this composition = 847 meV/atom
1.0
4.216 0.000 0.000
0.000 4.216 0.000
0.000 0.000 4.216
Ni S F
1 1 3
Direct
0.000 0.000 0.000 Ni
0.500 0.500 0.500 S
0.000 0.500 0.500 F
0.500 0.000 0.500 F
0.500 0.500 0.000 F